1.
CuAg5Br12: optimized geometry, PBE.

a b c (Å): 6.8780 6.8880 13.4437
angles (deg): 89.20 89.57 73.10
Positions (direct):
Cu1 0.0000 0.0000 0.0000
Ag1 0.0000 0.5000 0.5000
Ag2 0.3345 0.3338 0.9999
Ag3 0.3346 0.8319 0.5004
Ag4 0.6654 0.1681 0.4996
Ag5 0.6655 0.6662 0.0001
Br1 0.0508 0.2549 0.8888
Br2 0.0532 0.7753 0.6186
Br3 0.2518 0.0468 0.1112
Br4 0.2816 0.5547 0.3820
Br5 0.3859 0.1099 0.6186
Br6 0.3904 0.6134 0.8791
Br7 0.6096 0.3866 0.1209
Br8 0.6141 0.8901 0.3814
Br9 0.7184 0.4453 0.6180
Br10 0.7482 0.9532 0.8888
Br11 0.9468 0.2247 0.3814
Br12 0.9492 0.7451 0.1112

Summary:
Energy relative to the elements, uncorrected ... -21 kJ/mol of atoms
D(E_F) ... 15.573 states/eV/cell
E ... -2.357 eV per atom
SG ... No. 2
Crystal system ... triclinic

2.
OsPbSeN2: optimized geometry, PBE.

a b c (Å): 4.2295 4.2295 5.7102
angles (deg): 90.00 90.00 90.00
Positions (direct):
Os1 0.0000 0.0000 0.0000
Pb1 0.5000 0.5000 0.5000
Se1 0.5000 0.5000 0.0000
N1 0.0000 0.5000 0.5000
N2 0.5000 0.0000 0.5000

Summary:
Energy relative to the elements, uncorrected ... 243 kJ/mol of atoms
D(E_F) ... 4.454 states/eV/cell
E ... -4.492 eV per atom
SG ... No. 123
Crystal system ... tetragonal

3.
BeInAs2: optimized geometry, PBE.

a b c (Å): 4.3609 4.3609 7.9926
angles (deg): 90.00 90.00 90.00
Positions (direct):
Be1 0.0000 0.0000 0.0000
Be2 0.5000 0.5000 0.5000
In1 0.0000 0.0000 0.5000
In2 0.5000 0.5000 0.0000
As1 0.0000 0.5000 0.2500
As2 0.0000 0.5000 0.7500
As3 0.5000 0.0000 0.2500
As4 0.5000 0.0000 0.7500

Summary:
D(E_F) ... 2.773 states/eV/cell
E ... -3.388 eV per atom
ΔE_f ... 0.552 eV/atom
SG ... No. 139
Crystal system ... tetragonal

4.
CeZn3Pt: optimized geometry, PBE.

a b c (Å): 8.5079 4.2494 10.7104
angles (deg): 90.00 90.00 90.00
Positions (direct):
Ce1 0.1987 0.2500 0.0017
Ce2 0.3013 0.7500 0.5017
Ce3 0.6987 0.2500 0.4983
Ce4 0.8013 0.7500 0.9983
Zn1 0.0641 0.2500 0.3953
Zn2 0.0944 0.7500 0.2133
Zn3 0.1412 0.7500 0.7932
Zn4 0.3588 0.2500 0.2932
Zn5 0.4056 0.2500 0.7133
Zn6 0.4359 0.7500 0.8953
Zn7 0.5641 0.2500 0.1047
Zn8 0.5944 0.7500 0.2867
Zn9 0.6412 0.7500 0.7068
Zn10 0.8588 0.2500 0.2068
Zn11 0.9056 0.2500 0.7867
Zn12 0.9359 0.7500 0.6047
Pt1 0.1276 0.2500 0.6342
Pt2 0.3724 0.7500 0.1342
Pt3 0.6276 0.2500 0.8658
Pt4 0.8724 0.7500 0.3658

Summary:
D(E_F) ... 28.762 states/eV/cell
E ... -3.628 eV per atom
ΔE_f ... -0.468 eV/atom
SG ... No. 62
Excess energy over the best structure of this formula in the dataset ... 40 meV/atom
Crystal system ... orthorhombic

5.
SnIrOsC: optimized geometry, PBE.

a b c (Å): 2.9319 4.7917 8.4159
angles (deg): 90.00 90.00 90.00
Positions (direct):
Sn1 0.0000 0.0000 0.0000
Sn2 0.0000 0.5000 0.5000
Ir1 0.5000 0.0000 0.2828
Ir2 0.5000 0.5000 0.7828
Os1 0.0000 0.0000 0.6840
Os2 0.0000 0.5000 0.1840
C1 0.5000 0.0000 0.5185
C2 0.5000 0.5000 0.0185

Summary:
D(E_F) ... 4.805 states/eV/cell
E ... -7.726 eV per atom
ΔE_f ... 0.603 eV/atom
SG ... No. 38
Excess energy over the best structure of this formula in the dataset ... 241 meV/atom
Crystal system ... orthorhombic